No. 1
Below is crystalline Ba2FeOs at its relaxed geometry, with properties calculated at the PBE level.

## Properties
* space group: R-3m

POSCAR file:
```
Ba2FeOs
1.0
-5.0246 7.7924 -3.6864
-7.6284 6.2448 -1.5386
-5.1310 8.5573 -0.0543
Ba Fe Os
2 1 1
Cartesian
-0.1076 0.1367 -0.0320
-8.7843 11.1605 -2.6077
-4.4460 5.6486 -1.3198
-13.3380 16.9459 -3.9595
```

---

No. 2
Below is crystalline Ba2FeOs at its relaxed geometry, with properties calculated at the PBE level.

## Properties
* space group: P4mm

POSCAR file:
```
Ba2FeOs
1.0
3.5129 -0.1911 0.0000
0.1917 3.5128 0.0000
0.0000 0.0000 9.5338
Ba Fe Os
2 1 1
Cartesian
0.0000 0.0000 8.6824
1.8523 1.6609 3.2341
0.0000 0.0000 5.6694
1.8523 1.6609 6.2485
```

---

No. 3
Below is crystalline Ba2FeOs at its relaxed geometry, with properties calculated at the PBE level.

## Properties
* space group: Amm2

POSCAR file:
```
Ba2FeOs
1.0
-1.1888 -2.9141 -2.7521
-2.2662 -2.5068 3.6333
-6.1058 1.7506 0.7838
Ba Fe Os
2 1 1
Cartesian
-7.7846 -0.8689 4.2828
-3.2765 -1.5322 -0.1378
-4.8347 -0.7127 2.8432
-6.2230 -1.6906 1.3027
```

---

No. 4
Below is crystalline Ba2FeOs at its relaxed geometry, with properties calculated at the PBE level.

## Properties
* space group: P2/m

POSCAR file:
```
Ba2FeOs
1.0
-2.1237 -2.6128 1.6832
1.7487 -2.6252 -1.8686
7.3375 -3.1967 4.2955
Ba Fe Os
2 1 1
Cartesian
7.2186 -3.1885 4.1582
4.6620 -2.9192 1.3507
1.2097 -2.7619 1.4483
5.7529 -5.6728 2.6617
```

---

No. 5
Below is crystalline Ba2FeOs at its relaxed geometry, with properties calculated at the PBE level.

## Properties
* space group: C2/m

POSCAR file:
```
Ba2FeOs
1.0
4.7561 -0.0229 -0.0616
3.6504 3.0489 -0.0616
0.8650 0.3114 8.1399
Ba Fe Os
2 1 1
Cartesian
0.8772 0.3157 7.9939
4.6235 1.6643 4.1543
2.3179 0.8343 2.0042
6.9536 2.5030 6.0125
```

---

No. 6
Below is crystalline Ba2FeOs at its relaxed geometry, with properties calculated at the PBE level.

## Properties
* space group: Cm

POSCAR file:
```
Ba2FeOs
1.0
-3.2271 2.1286 -1.4883
-3.7095 -0.3260 1.8148
-0.0811 7.4345 5.5127
Ba Fe Os
2 1 1
Cartesian
-0.3890 6.6533 4.8872
-1.4468 3.0903 2.0851
-3.2274 5.4812 3.6017
-5.5444 6.0654 3.6975
```

---

No. 7
Below is crystalline Ba2FeOs at its relaxed geometry, with properties calculated at the PBE level.

## Properties
* space group: Imm2

POSCAR file:
```
Ba2FeOs
1.0
-3.0329 -0.3347 7.0781
-4.1539 -5.4077 3.5932
6.2792 1.9557 -4.0195
Ba Fe Os
2 1 1
Cartesian
-7.1810 -5.7378 10.6626
-0.1567 -0.6117 4.1721
-2.9548 -2.3609 4.3873
-1.3954 -3.6901 3.4367
```

---

No. 8
Below is crystalline Ba2FeOs at its relaxed geometry, with properties calculated at the PBE level.

## Properties
* space group: I-42d

POSCAR file:
```
Ba2FeOs
1.0
-8.3319 7.9351 2.6755
-8.0989 -8.5953 0.2712
-7.8143 -0.6397 3.6407
Os Ba Fe
2 4 2
Cartesian
0.0000 0.0000 0.0000
-12.1808 3.4827 3.8948
-6.6035 2.2301 2.1122
-9.6267 -3.0450 1.9182
-13.5482 -2.3468 3.8867
-18.7117 0.5621 5.2578
-8.2154 -0.3301 1.4734
-12.0643 -4.7825 2.6926
```

---

no.,energy above the most stable polymorph in this dataset (eV per atom),formation energy (eV/atom)
1,1.0019,1.336
2,0.2643,0.598
3,0.1834,0.517
4,0.7920,1.126
5,0.9532,1.287
6,0.0000,0.334
7,0.2270,0.561
8,0.4700,0.804